# Zr2TiS6, optimized geometry, DFT PBE
data_Zr2TiS6
_chemical_formula_sum 'Zr4 Ti2 S12'
_cell_length_a 6.0793
_cell_length_b 6.0793
_cell_length_c 10.8844
_cell_angle_alpha 90.00
_cell_angle_beta 90.00
_cell_angle_gamma 90.00
_space_group_name_H-M_alt 'P 42/m n m'
_space_group_IT_number 136
_space_group_name_Hall '-P 4n 2n'
loop_
_atom_site_label
_atom_site_fract_x
_atom_site_fract_y
_atom_site_fract_z
Zr1 0.0000 0.0000 0.1673
Ti1 0.0000 0.0000 0.5000
S1 0.1946 0.1946 0.3422
S2 0.2042 0.2042 0.0000
# - ΔE_f (raw) (eV per atom) = -1.3037
# - N(E_F) (states/eV per atom) = 0.041
# - energy above the most stable polymorph in this dataset (meV/atom) = 117.9

---

# HfVP2N, optimized geometry, DFT PBE
data_HfVP2N
_chemical_formula_sum 'Hf1 V1 P2 N1'
_cell_length_a 4.3547
_cell_length_b 4.3547
_cell_length_c 3.6610
_cell_angle_alpha 90.00
_cell_angle_beta 90.00
_cell_angle_gamma 90.00
_space_group_name_H-M_alt 'P 4/m m m'
_space_group_IT_number 123
_space_group_name_Hall '-P 4 2'
loop_
_atom_site_label
_atom_site_fract_x
_atom_site_fract_y
_atom_site_fract_z
Hf1 0.0000 0.0000 0.0000
V1 0.5000 0.5000 0.0000
P1 0.0000 0.5000 0.5000
N1 0.5000 0.5000 0.5000
# - ΔE_f (raw) (eV per atom) = -0.0995
# - N(E_F) (states/eV per atom) = 0.746

---

# KNiOs3, optimized geometry, DFT PBE
data_KNiOs3
_chemical_formula_sum 'K1 Ni1 Os3'
_cell_length_a 4.5837
_cell_length_b 4.5837
_cell_length_c 4.5837
_cell_angle_alpha 90.00
_cell_angle_beta 90.00
_cell_angle_gamma 90.00
_space_group_name_H-M_alt 'P m -3 m'
_space_group_IT_number 221
_space_group_name_Hall '-P 4 2 3'
loop_
_atom_site_label
_atom_site_fract_x
_atom_site_fract_y
_atom_site_fract_z
K1 0.0000 0.0000 0.0000
Ni1 0.5000 0.5000 0.5000
Os1 0.0000 0.5000 0.5000
# - N(E_F) (states/eV per atom) = 2.230
# - energy above the most stable polymorph in this dataset (meV/atom) = 0.0
# - ΔH_f (0 K) (eV/atom) = 2.14